(1)
Material: LiNd4Sn8
Method: DFT, PBE-GGA
State: optimized geometry

a = 4.437 Å, b = 4.530 Å, c = 17.505 Å
α = 90.00°, β = 90.00°, γ = 90.00°
Element x y z (fractional)
Nd 0.500 0.000 0.896
Nd 0.500 0.500 0.396
Nd 0.000 0.000 0.093
Sn 0.500 0.000 0.234
Sn 0.000 0.500 0.933
Sn 0.000 0.000 0.750
Sn 0.500 0.000 0.574
Sn 0.000 0.000 0.464
Sn 0.000 0.500 0.235
Nd 0.000 0.500 0.607
Li 0.000 0.000 0.318
Sn 0.500 0.500 0.048
Sn 0.500 0.500 0.755

The space group is Pmm2 (25). For the density of states at the Fermi level, the calculation gives 0.37 states/eV/atom. The total energy is -4.70 eV/atom. The calculation puts the formation energy at -0.63 eV/atom.

(2)
Material: LiNd2Sn3
Method: DFT, PBE-GGA
State: optimized geometry

a = 4.241 Å, b = 4.755 Å, c = 8.023 Å
α = 90.00°, β = 90.00°, γ = 90.00°
Element x y z (fractional)
Sn 0.500 0.500 0.643
Nd 0.000 0.500 0.990
Li 0.500 0.500 0.321
Sn 0.500 0.000 0.842
Sn 0.500 0.000 0.193
Nd 0.000 0.000 0.512

The space group is Pmm2 (25). For the density of states at the Fermi level, the calculation gives 0.73 states/eV/atom. The total energy is -4.46 eV/atom. The calculation puts the formation energy at -0.55 eV/atom. As for the relative energy among the computed polymorphs: 58 meV/atom.

(3)
Material: Li3NdSn6
Method: DFT, PBE-GGA
State: optimized geometry

a = 4.569 Å, b = 9.881 Å, c = 10.649 Å
α = 95.13°, β = 90.00°, γ = 90.00°
Element x y z (fractional)
Li 0.750 0.257 0.004
Li 0.750 0.667 0.180
Sn 0.750 0.731 0.464
Sn 0.250 0.834 0.295
Sn 0.750 0.523 0.889
Sn 0.250 0.183 0.184
Sn 0.750 0.402 0.297
Sn 0.750 0.817 0.816
Sn 0.250 0.477 0.111
Sn 0.250 0.048 0.910
Li 0.250 0.743 0.996
Sn 0.750 0.952 0.090
Nd 0.250 0.917 0.619
Li 0.250 0.333 0.820
Sn 0.750 0.166 0.705
Nd 0.750 0.083 0.381
Sn 0.250 0.269 0.536
Li 0.250 0.558 0.416
Sn 0.250 0.598 0.703
Li 0.750 0.442 0.584

The space group is P2_1/m (11). For the density of states at the Fermi level, the calculation gives 0.32 states/eV/atom. The total energy is -3.80 eV/atom. The calculation puts the formation energy at -0.34 eV/atom.

(4)
Material: Li2Nd5Sn4
Method: DFT, PBE-GGA
State: optimized geometry

a = 4.491 Å, b = 7.581 Å, c = 11.013 Å
α = 110.41°, β = 101.76°, γ = 90.00°
Each line ends with the local moment (μB).
Element x y z (fractional)
Nd 0.500 0.000 0.000  0.13
Nd 0.161 0.921 0.322  0.10
Sn 0.708 0.707 0.415  -0.01
Sn 0.000 0.304 0.000  -0.02
Sn 0.292 0.293 0.585  -0.01
Li 0.434 0.435 0.867  0.00
Nd 0.839 0.079 0.678  0.10
Sn 0.000 0.696 0.000  -0.02
Nd 0.161 0.397 0.321  0.11
Li 0.566 0.565 0.133  0.00
Nd 0.839 0.603 0.679  0.11

The space group is C2/m (12). For the density of states at the Fermi level, the calculation gives 0.76 states/eV/atom. The total energy is -4.39 eV/atom. The calculation puts the formation energy at -0.42 eV/atom.

(5)
Material: Li3NdSn3
Method: DFT, PBE-GGA
State: optimized geometry

a = 7.127 Å, b = 7.127 Å, c = 7.127 Å
α = 90.00°, β = 90.00°, γ = 90.00°
Element x y z (fractional)
Sn 0.250 0.000 0.500
Li 0.500 0.000 0.750
Li 0.500 0.000 0.250
Li 0.000 0.750 0.500
Sn 0.750 0.000 0.500
Li 0.750 0.500 0.000
Nd 0.000 0.000 0.000
Li 0.250 0.500 0.000
Sn 0.000 0.500 0.250
Li 0.000 0.250 0.500
Sn 0.500 0.750 0.000
Sn 0.500 0.250 0.000
Sn 0.000 0.500 0.750
Nd 0.500 0.500 0.500

The space group is Pm-3n (223). For the density of states at the Fermi level, the calculation gives 0.94 states/eV/atom. The total energy is -3.11 eV/atom. The calculation puts the formation energy at 0.11 eV/atom.

(6)
Material: LiNdSn
Method: DFT, PBE-GGA
State: optimized geometry

a = 9.550 Å, b = 9.550 Å, c = 7.674 Å
α = 90.00°, β = 90.00°, γ = 120.00°
Element x y z (fractional)
Li 0.333 0.167 0.785
Li 0.833 0.167 0.785
Li 0.167 0.833 0.285
Sn 0.833 0.167 0.229
Li 0.667 0.333 0.180
Nd 0.511 0.489 0.495
Nd 0.489 0.979 0.995
Nd 0.511 0.021 0.495
Sn 0.333 0.167 0.229
Nd 0.979 0.489 0.495
Sn 0.333 0.667 0.265
Sn 0.167 0.333 0.729
Nd 0.489 0.511 0.995
Li 0.667 0.833 0.285
Nd 0.021 0.511 0.995
Li 0.333 0.667 0.680
Nd 0.000 0.000 0.499
Nd 0.000 0.000 0.999
Sn 0.833 0.667 0.229
Sn 0.667 0.833 0.729
Li 0.167 0.333 0.285
Sn 0.667 0.333 0.765
Li 0.833 0.667 0.785
Sn 0.167 0.833 0.729

The space group is P6_3mc (186). For the density of states at the Fermi level, the calculation gives 0.24 states/eV/atom. The total energy is -4.23 eV/atom. The calculation puts the formation energy at -0.66 eV/atom.